DFT (PBE-GGA) results for a relaxed Zn2TcBr crystal.

Output
- DOS at the Fermi energy (states/eV/f.u.) = 2.6
- DFT total energy (eV/f.u.) = -12.1

a = 7.6071 Å, b = 7.6071 Å, c = 5.3206 Å
α = 90.00°, β = 90.00°, γ = 90.00°
Closest atoms and distances in Å follow each position.
Space group I-42d (No. 122)
Asymmetric unit:
Zn 0.2237 0.2500 0.1250  2 Tc 2.64, 2 Zn 2.69, 2 Br 2.91
Tc 0.0000 0.0000 0.0000  4 Zn 2.64, 2 Br 2.66
Br 0.0000 0.0000 0.5000  2 Tc 2.66, 4 Zn 2.91

***

DFT (PBE-GGA) results for a relaxed ZnTcBr2 crystal.

Output
- DFT total energy (eV/f.u.) = -15.6

a = 3.7056 Å, b = 7.6648 Å, c = 9.5057 Å
α = 113.27°, β = 100.68°, γ = 90.13°
Closest atoms and distances in Å follow each position.
Space group P1 (No. 1)
Asymmetric unit:
Zn 0.0000 0.0000 0.0000  4 Tc 2.64-2.67, 2 Zn 2.72, 3 Br 2.81-2.90
Zn 0.4801 0.2330 0.9557  3 Br 2.50-2.57, 1 Tc 2.62, 2 Zn 2.72
Tc 0.3934 0.8681 0.7769  1 Tc 2.13
Tc 0.4687 0.7336 0.9368  1 Tc 2.13
Br 0.0760 0.3994 0.1553  3 Zn 2.57-2.81
Br 0.3872 0.3841 0.7628  1 Zn 2.50, 1 Tc 2.51
Br 0.6029 0.9543 0.2202  1 Tc 2.50
Br 0.7934 0.7402 0.5678  2 Tc 2.58

***

DFT (PBE-GGA) results for a relaxed ZnTcBr2 crystal.

Output
- DOS at the Fermi energy (states/eV/f.u.) = 0.6
- DFT total energy (eV/f.u.) = -15.8

a = 3.6682 Å, b = 6.9562 Å, c = 9.7922 Å
α = 108.60°, β = 99.89°, γ = 90.28°
Closest atoms and distances in Å follow each position.
Space group P1 (No. 1)
Asymmetric unit:
Zn 0.0000 0.0000 0.0000  2 Br 2.47-2.59, 1 Tc 2.55
Zn 0.2818 0.2248 0.8303  2 Br 2.48-2.53, 2 Tc 2.66-2.77
Tc 0.2166 0.3741 0.1222  2 Tc 2.24-2.41, 1 Br 2.38
Tc 0.7124 0.5162 0.0435  2 Tc 2.24-2.41, 1 Br 2.50
Br 0.3266 0.4562 0.3818  1 Tc 2.38
Br 0.7088 0.0694 0.6530  2 Zn 2.48-2.53
Br 0.7565 0.8839 0.1959  1 Tc 2.50, 1 Zn 2.59
Br 0.7989 0.6526 0.8318  1 Zn 2.47, 1 Tc 2.60

***

DFT (PBE-GGA) results for a relaxed ZnTcBr2 crystal.

Output
- DOS at the Fermi energy (states/eV/f.u.) = 3.5
- DFT total energy (eV/f.u.) = -14.1

a = 8.9119 Å, b = 8.9119 Å, c = 5.1627 Å
α = 90.00°, β = 90.00°, γ = 90.00°
Closest atoms and distances in Å follow each position.
Space group I-42d (No. 122)
Asymmetric unit:
Zn 0.0000 0.0000 0.0000  2 Tc 2.58
Tc 0.0000 0.0000 0.5000  4 Br 2.50, 2 Zn 2.58
Br 0.1050 0.2500 0.6250  2 Tc 2.50

***

DFT (PBE-GGA) results for a relaxed ZnTcBr2 crystal.

Output
- DOS at the Fermi energy (states/eV/f.u.) = 5.2
- DFT total energy (eV/f.u.) = -12.1

a = 6.6698 Å, b = 6.6698 Å, c = 6.6698 Å
α = 90.00°, β = 90.00°, γ = 90.00°
Closest atoms and distances in Å follow each position.
Space group Fm-3m (No. 225)
Asymmetric unit:
Zn 0.0000 0.0000 0.0000  8 Br 2.89
Tc 0.0000 0.0000 0.5000  8 Br 2.89
Br 0.2500 0.2500 0.2500  4 Tc 2.89, 4 Zn 2.89

***

DFT (PBE-GGA) results for a relaxed Zn2TcBr8 crystal.

Output
- DFT total energy (eV/f.u.) = -32.8

a = 14.7421 Å, b = 7.9783 Å, c = 6.3874 Å
α = 90.00°, β = 91.28°, γ = 90.00°
Closest atoms and distances in Å follow each position.
Space group C2/m (No. 12)
Asymmetric unit:
Zn 0.1623 0.0000 0.4168  4 Br 2.31-2.52
Tc 0.0000 0.0000 0.0000  6 Br 2.54-2.56
Br 0.0663 0.2236 0.2418  1 Zn 2.52, 1 Tc 2.54
Br 0.1496 0.0000 0.8052  1 Zn 2.49, 1 Tc 2.56
Br 0.1843 0.5000 0.6514  1 Zn 2.31

***

Look up the DFT total energy of the second one.
-15.6 eV/f.u.